(1)
An optimized crystal structure of Ac3ZnPt. Source: Alexandria via LeMat-Bulk, functional PBE.

Summary:
* V: 334 Å³ per cell
* density of states at the Fermi level: 0.929 states/eV per atom
* excess energy over the best structure of this formula in the dataset: 0 meV per atom
* SG: No. 12
* formation enthalpy at 0 K: -525.7 meV/atom

a = 4.195 Å, b = 7.271 Å, c = 11.225 Å
α = 96.53°, β = 100.77°, γ = 90.00°
Atoms (fractional coordinates):
Ac 0.988 0.254 0.976
Ac 0.012 0.746 0.024
Ac 0.369 0.890 0.738
Ac 0.631 0.110 0.262
Ac 0.176 0.601 0.352
Ac 0.824 0.399 0.648
Zn 0.759 0.897 0.517
Zn 0.241 0.103 0.483
Pt 0.575 0.498 0.150
Pt 0.425 0.502 0.850

---

(2)
An optimized crystal structure of Ac2Zn7Pt. Source: Alexandria via LeMat-Bulk, functional PBE.

Summary:
* V: 209 Å³ per cell
* density of states at the Fermi level: 0.723 states/eV per atom
* SG: No. 115
* formation enthalpy at 0 K: -402.9 meV/atom

a = 4.510 Å, b = 4.510 Å, c = 10.274 Å
α = 90.00°, β = 90.00°, γ = 90.00°
Atoms (fractional coordinates):
Ac 0.500 0.000 0.757
Ac 0.000 0.500 0.243
Zn 0.000 0.500 0.875
Zn 0.500 0.000 0.374
Zn 0.500 0.000 0.125
Zn 0.000 0.500 0.626
Zn 0.000 0.000 0.500
Zn 0.000 0.000 0.000
Zn 0.500 0.500 0.500
Pt 0.500 0.500 0.000

---

(3)
An optimized crystal structure of Ac6Zn2Pt. Source: Alexandria via LeMat-Bulk, functional PBE.

Summary:
* V: 662 Å³ per cell
* density of states at the Fermi level: 1.305 states/eV per atom
* SG: No. 14
* formation enthalpy at 0 K: -309.6 meV/atom

a = 7.155 Å, b = 8.315 Å, c = 11.130 Å
α = 90.00°, β = 92.38°, γ = 90.00°
Atoms (fractional coordinates):
Ac 0.855 0.959 0.244
Ac 0.841 0.669 0.563
Ac 0.835 0.695 0.936
Ac 0.665 0.195 0.564
Ac 0.659 0.169 0.937
Ac 0.645 0.459 0.256
Ac 0.145 0.041 0.756
Ac 0.159 0.331 0.437
Ac 0.165 0.305 0.064
Ac 0.335 0.805 0.436
Ac 0.341 0.831 0.063
Ac 0.355 0.541 0.744
Zn 0.935 0.389 0.767
Zn 0.565 0.889 0.733
Zn 0.435 0.111 0.267
Zn 0.065 0.611 0.233
Pt 0.500 0.500 0.000
Pt 0.000 0.000 0.500

---

(4)
An optimized crystal structure of Ac2Zn6Pt9. Source: Alexandria via LeMat-Bulk, functional PBE.

Summary:
* V: 335 Å³ per cell
* density of states at the Fermi level: 0.306 states/eV per atom
* SG: No. 191
* formation enthalpy at 0 K: -691.6 meV/atom

a = 5.655 Å, b = 5.655 Å, c = 12.089 Å
α = 90.00°, β = 90.00°, γ = 120.00°
Atoms (fractional coordinates):
Ac 0.000 0.000 0.695
Ac 0.000 0.000 0.305
Zn 0.333 0.667 0.000
Zn 0.667 0.333 0.000
Zn 0.333 0.667 0.665
Zn 0.667 0.333 0.665
Zn 0.667 0.333 0.335
Zn 0.333 0.667 0.335
Pt 0.500 0.000 0.832
Pt 0.000 0.500 0.832
Pt 0.500 0.500 0.832
Pt 0.500 0.000 0.168
Pt 0.000 0.500 0.168
Pt 0.500 0.500 0.168
Pt 0.500 0.000 0.500
Pt 0.000 0.500 0.500
Pt 0.500 0.500 0.500

---

(5)
An optimized crystal structure of Ac3Pu. Source: Alexandria via LeMat-Bulk, functional PBE.

Summary:
* V: 164 Å³ per cell
* density of states at the Fermi level: 3.966 states/eV per atom
* excess energy over the best structure of this formula in the dataset: 18 meV per atom
* SG: No. 25
* formation enthalpy at 0 K: 198.7 meV/atom

a = 3.904 Å, b = 6.248 Å, c = 6.720 Å
α = 90.00°, β = 90.00°, γ = 90.00°
Last column: magnetic moment on the atom in μB.
Atoms (fractional coordinates):
Ac 0.000 0.500 0.327  0.03
Ac 0.500 0.000 0.497  0.08
Ac 0.500 0.500 0.840  0.08
Pu 0.000 0.000 0.003  5.68

---

(6)
An optimized crystal structure of Ac3Pu. Source: Alexandria via LeMat-Bulk, functional PBE.

Summary:
* V: 162 Å³ per cell
* density of states at the Fermi level: 3.212 states/eV per atom
* excess energy over the best structure of this formula in the dataset: 36 meV per atom
* SG: No. 44
* formation enthalpy at 0 K: 216.3 meV/atom

a = 3.960 Å, b = 6.355 Å, c = 7.452 Å
α = 115.24°, β = 105.41°, γ = 90.00°
Last column: magnetic moment on the atom in μB.
Atoms (fractional coordinates):
Ac 0.276 0.690 0.552  0.08
Ac 0.500 0.419 0.000  0.12
Ac 0.724 0.138 0.448  0.08
Pu 0.000 0.920 0.000  5.76

---

(7)
An optimized crystal structure of Ac2Pu. Source: Alexandria via LeMat-Bulk, functional PBE.

Summary:
* V: 117 Å³ per cell
* density of states at the Fermi level: 2.802 states/eV per atom
* SG: No. 139
* formation enthalpy at 0 K: 181.1 meV/atom

a = 3.835 Å, b = 3.835 Å, c = 8.433 Å
α = 103.14°, β = 103.14°, γ = 90.04°
Last column: magnetic moment on the atom in μB.
Atoms (fractional coordinates):
Ac 0.159 0.159 0.317  0.04
Ac 0.841 0.841 0.683  0.04
Pu 0.500 0.500 0.000  5.75

---

(8)
An optimized crystal structure of Ac3Pu. Source: Alexandria via LeMat-Bulk, functional PBE.

Summary:
* V: 161 Å³ per cell
* density of states at the Fermi level: 4.364 states/eV per atom
* excess energy over the best structure of this formula in the dataset: 7 meV per atom
* SG: No. 221
* formation enthalpy at 0 K: 187.1 meV/atom

a = 5.443 Å, b = 5.443 Å, c = 5.443 Å
α = 90.00°, β = 90.00°, γ = 90.00°
Last column: magnetic moment on the atom in μB.
Atoms (fractional coordinates):
Ac 0.000 0.500 0.500  0.10
Ac 0.500 0.000 0.500  0.10
Ac 0.500 0.500 0.000  0.10
Pu 0.000 0.000 0.000  5.65

---

(9)
An optimized crystal structure of AcPu6. Source: Alexandria via LeMat-Bulk, functional PBE.

Summary:
* V: 153 Å³ per cell
* density of states at the Fermi level: 2.714 states/eV per atom
* SG: No. 229
* formation enthalpy at 0 K: 172.8 meV/atom

a = 5.841 Å, b = 5.841 Å, c = 5.841 Å
α = 109.47°, β = 109.47°, γ = 109.47°
Atoms (fractional coordinates):
Ac 0.000 0.000 0.000
Pu 0.250 0.750 0.500
Pu 0.500 0.750 0.250
Pu 0.250 0.500 0.750
Pu 0.750 0.250 0.500
Pu 0.500 0.250 0.750
Pu 0.750 0.500 0.250

---

(10)
An optimized crystal structure of AcPu2. Source: Alexandria via LeMat-Bulk, functional PBE.

Summary:
* V: 195 Å³ per cell
* density of states at the Fermi level: 5.249 states/eV per atom
* SG: No. 227
* formation enthalpy at 0 K: 255.5 meV/atom

a = 6.510 Å, b = 6.510 Å, c = 6.510 Å
α = 60.00°, β = 60.00°, γ = 60.00°
Last column: magnetic moment on the atom in μB.
Atoms (fractional coordinates):
Ac 0.000 0.000 0.000  0.14
Ac 0.250 0.250 0.250  0.14
Pu 0.125 0.625 0.625  5.66
Pu 0.625 0.125 0.625  5.66
Pu 0.625 0.625 0.625  5.66
Pu 0.625 0.625 0.125  5.66

---

(11)
An optimized crystal structure of AcPu4. Source: Alexandria via LeMat-Bulk, functional PBE.

Summary:
* V: 188 Å³ per cell
* density of states at the Fermi level: 7.838 states/eV per atom
* SG: No. 221
* formation enthalpy at 0 K: 1387.1 meV/atom

a = 5.734 Å, b = 5.734 Å, c = 5.734 Å
α = 90.00°, β = 90.00°, γ = 90.00°
Last column: magnetic moment on the atom in μB.
Atoms (fractional coordinates):
Ac 0.500 0.500 0.500  0.37
Pu 0.000 0.000 0.000  5.66
Pu 0.500 0.000 0.500  5.47
Pu 0.000 0.500 0.500  5.47
Pu 0.500 0.500 0.000  5.47

---

(12)
An optimized crystal structure of Ac3Pu. Source: Alexandria via LeMat-Bulk, functional PBE.

Summary:
* V: 165 Å³ per cell
* density of states at the Fermi level: 4.476 states/eV per atom
* excess energy over the best structure of this formula in the dataset: 97 meV per atom
* SG: No. 225
* formation enthalpy at 0 K: 277.7 meV/atom

a = 6.156 Å, b = 6.156 Å, c = 6.156 Å
α = 60.00°, β = 60.00°, γ = 60.00°
Last column: magnetic moment on the atom in μB.
Atoms (fractional coordinates):
Ac 0.000 0.000 0.000  0.13
Ac 0.750 0.750 0.750  0.17
Ac 0.250 0.250 0.250  0.17
Pu 0.500 0.500 0.500  5.73

---

Look up the formation enthalpy at 0 K of the third one.
-309.6 meV/atom